Record 1
Computed, not measured: an optimized crystal structure of RbNa2CeCl8 at the PBE-GGA level of DFT.

Summary:
Symmetry: P-1 (2)
Raw formation energy (eV/atom): -1.7037

Structure (CIF):
```
data_RbNa2CeCl8
_space_group_name_H-M_alt 'P 1'
_space_group_IT_number 1
_cell_length_a 6.8698
_cell_length_b 5.7552
_cell_length_c 9.4826
_cell_angle_alpha 89.86
_cell_angle_beta 89.98
_cell_angle_gamma 90.75
loop_
_space_group_symop_operation_xyz
'x,y,z'
loop_
_atom_site_label
_atom_site_type_symbol
_atom_site_fract_x
_atom_site_fract_y
_atom_site_fract_z
Rb1 Rb 0.0000 0.0000 0.5000
Na1 Na 0.5001 0.4996 0.7700
Na2 Na 0.4999 0.5004 0.2300
Ce1 Ce 0.0000 0.0000 0.0000
Cl1 Cl 0.1519 0.7530 0.2060
Cl2 Cl 0.6747 0.7496 0.9996
Cl3 Cl 0.8468 0.2456 0.2054
Cl4 Cl 0.8482 0.2470 0.7940
Cl5 Cl 0.3253 0.2504 0.0004
Cl6 Cl 0.1532 0.7544 0.7946
Cl7 Cl 0.5143 0.7491 0.4999
Cl8 Cl 0.4857 0.2509 0.5001
```

Record 2
Computed, not measured: an optimized crystal structure of RbNaCe2Cl8 at the PBE-GGA level of DFT.

Summary:
Symmetry: P2/m (10)
Raw formation energy (eV/atom): -2.0912

Structure (CIF):
```
data_RbNaCe2Cl8
_space_group_name_H-M_alt 'P 1'
_space_group_IT_number 1
_cell_length_a 6.9701
_cell_length_b 6.8061
_cell_length_c 8.8037
_cell_angle_alpha 90.00
_cell_angle_beta 90.00
_cell_angle_gamma 86.09
loop_
_space_group_symop_operation_xyz
'x,y,z'
loop_
_atom_site_label
_atom_site_type_symbol
_atom_site_fract_x
_atom_site_fract_y
_atom_site_fract_z
Rb1 Rb 0.0000 0.0000 0.5000
Na1 Na 0.0000 0.0000 0.0000
Ce1 Ce 0.5000 0.5000 0.7566
Ce2 Ce 0.5000 0.5000 0.2434
Cl1 Cl 0.1909 0.7606 0.2224
Cl2 Cl 0.6591 0.7041 0.0001
Cl3 Cl 0.8091 0.2395 0.2224
Cl4 Cl 0.8091 0.2394 0.7776
Cl5 Cl 0.3409 0.2959 0.9999
Cl6 Cl 0.1909 0.7605 0.7776
Cl7 Cl 0.6444 0.6975 0.5001
Cl8 Cl 0.3556 0.3025 0.4999
```

Record 3
Computed, not measured: an optimized crystal structure of Rb2NaCeCl8 at the PBE-GGA level of DFT.

Summary:
Symmetry: P-1 (2)
Raw formation energy (eV/atom): -1.7257

Structure (CIF):
```
data_Rb2NaCeCl8
_space_group_name_H-M_alt 'P 1'
_space_group_IT_number 1
_cell_length_a 7.1467
_cell_length_b 6.7361
_cell_length_c 8.7865
_cell_angle_alpha 89.87
_cell_angle_beta 90.10
_cell_angle_gamma 90.72
loop_
_space_group_symop_operation_xyz
'x,y,z'
loop_
_atom_site_label
_atom_site_type_symbol
_atom_site_fract_x
_atom_site_fract_y
_atom_site_fract_z
Rb1 Rb 0.4995 0.4988 0.7488
Rb2 Rb 0.5005 0.5012 0.2512
Na1 Na 0.0000 0.0000 0.5000
Ce1 Ce 0.0000 0.0000 0.0000
Cl1 Cl 0.1106 0.7658 0.2260
Cl2 Cl 0.6785 0.8067 0.9989
Cl3 Cl 0.8880 0.2332 0.2249
Cl4 Cl 0.8894 0.2342 0.7740
Cl5 Cl 0.3215 0.1933 0.0011
Cl6 Cl 0.1120 0.7668 0.7751
Cl7 Cl 0.6200 0.8535 0.5004
Cl8 Cl 0.3800 0.1465 0.4996
```

Record 4
Computed, not measured: an optimized crystal structure of NaCeScCl6 at the PBE-GGA level of DFT.

Summary:
Symmetry: P-31c (163)
Raw formation energy (eV/atom): -2.0094

Structure (CIF):
```
data_NaCeScCl6
_space_group_name_H-M_alt 'P 1'
_space_group_IT_number 1
_cell_length_a 6.8322
_cell_length_b 6.8322
_cell_length_c 12.6629
_cell_angle_alpha 90.00
_cell_angle_beta 90.00
_cell_angle_gamma 120.00
loop_
_space_group_symop_operation_xyz
'x,y,z'
loop_
_atom_site_label
_atom_site_type_symbol
_atom_site_fract_x
_atom_site_fract_y
_atom_site_fract_z
Na1 Na 0.0000 0.0000 0.0000
Na2 Na 0.0000 0.0000 0.5000
Ce1 Ce 0.3333 0.6667 0.2500
Ce2 Ce 0.6667 0.3333 0.7500
Sc1 Sc 0.6667 0.3333 0.2500
Sc2 Sc 0.3333 0.6667 0.7500
Cl1 Cl 0.6684 0.6405 0.1314
Cl2 Cl 0.9721 0.3316 0.1314
Cl3 Cl 0.3316 0.9721 0.6314
Cl4 Cl 0.0279 0.6684 0.8686
Cl5 Cl 0.3595 0.3316 0.3686
Cl6 Cl 0.9721 0.6405 0.3686
Cl7 Cl 0.6405 0.9721 0.8686
Cl8 Cl 0.6684 0.0279 0.3686
Cl9 Cl 0.0279 0.3595 0.6314
Cl10 Cl 0.3595 0.0279 0.1314
Cl11 Cl 0.6405 0.6684 0.6314
Cl12 Cl 0.3316 0.3595 0.8686
```

Table of total energy (eV per atom), in record order: -3.73, -4.50, -3.72, -4.75